A geometry-optimized ReP2Br structure. Source: Alexandria, functional GGA-PBE.

abc: 3.7584 3.8546 6.2987
angles: 90.00 91.71 90.00
Sites, in units of the cell vectors:
Re: 0.0000 0.0000 0.0000
P: 0.1741 0.5000 0.8354
P: 0.5141 0.0000 0.7605
Br: 0.9126 0.5000 0.2942

E_form (uncorrected) (meV/atom): 238

A geometry-optimized ScCd2GeF structure. Source: Alexandria, functional GGA-PBE.

abc: 5.7509 5.7509 3.9043
angles: 90.00 90.00 90.00
Sites, in units of the cell vectors:
Sc: 0.0000 0.0000 0.0000
Cd: 0.0000 0.5000 0.0000
Cd: 0.5000 0.0000 0.0000
Ge: 0.5000 0.5000 0.5000
F: 0.0000 0.0000 0.5000

E_form (uncorrected) (meV/atom): -525

A geometry-optimized Na2PrSm3Se6 structure. Source: Alexandria, functional GGA-PBE.

abc: 7.2700 7.2700 7.3525
angles: 99.48 99.48 119.96
Sites, in units of the cell vectors:
Na: 0.1662 0.8338 0.0000
Na: 0.8338 0.1662 0.0000
Pr: 0.5000 0.5000 0.0000
Sm: 0.0000 0.0000 0.5000
Sm: 0.3320 0.6680 0.5000
Sm: 0.6680 0.3320 0.5000
Se: 0.0810 0.4152 0.7456
Se: 0.2521 0.2521 0.2572
Se: 0.4152 0.0810 0.7456
Se: 0.5848 0.9190 0.2544
Se: 0.7479 0.7479 0.7428
Se: 0.9190 0.5848 0.2544

E_form (uncorrected) (meV/atom): -1738

A geometry-optimized ReTcSCl2 structure. Source: Alexandria, functional GGA-PBE.

abc: 4.9597 4.9597 4.5206
angles: 90.00 90.00 90.00
Sites, in units of the cell vectors:
Re: 0.0000 0.0000 0.0000
Tc: 0.5000 0.5000 0.5000
S: 0.5000 0.5000 0.0000
Cl: 0.0000 0.5000 0.5000
Cl: 0.5000 0.0000 0.5000

E_form (uncorrected) (meV/atom): 1074

A geometry-optimized NdYMgCu structure. Source: Alexandria, functional GGA-PBE.

abc: 5.2226 5.2226 5.2226
angles: 60.00 60.00 60.00
Sites, in units of the cell vectors:
Nd: 0.0000 0.0000 0.0000
Y: 0.5000 0.5000 0.5000
Mg: 0.7500 0.7500 0.7500
Cu: 0.2500 0.2500 0.2500

E_form (eV/atom): -0.055

A geometry-optimized InSbPt3 structure. Source: Alexandria, functional GGA-PBE.

abc: 4.9430 4.9430 4.9430
angles: 90.00 90.00 90.00
Sites, in units of the cell vectors:
In: 0.0000 0.0000 0.0000
Sb: 0.5000 0.5000 0.5000
Pt: 0.0000 0.0000 0.5000
Pt: 0.0000 0.5000 0.0000
Pt: 0.5000 0.0000 0.0000

E_form (uncorrected) (meV/atom): 809

A geometry-optimized YNiMo structure. Source: Alexandria, functional GGA-PBE.

abc: 3.1715 3.1715 6.4332
angles: 90.00 90.00 120.00
Sites, in units of the cell vectors:
Y: 0.0000 0.0000 0.0000
Ni: 0.3333 0.6667 0.6430
Mo: 0.6667 0.3333 0.3786

E_form (eV/atom): 0.501

A geometry-optimized CrPtRh3 structure. Source: Alexandria, functional GGA-PBE.

abc: 4.3944 4.3944 4.3944
angles: 90.00 90.00 90.00
Sites, in units of the cell vectors:
Cr: 0.0000 0.0000 0.0000
Pt: 0.5000 0.5000 0.5000
Rh: 0.0000 0.0000 0.5000
Rh: 0.0000 0.5000 0.0000
Rh: 0.5000 0.0000 0.0000

E_form (eV/atom): 0.953

A geometry-optimized Er2SBr structure. Source: Alexandria, functional GGA-PBE.

abc: 7.9704 7.9704 7.9704
angles: 27.00 27.00 27.00
Sites, in units of the cell vectors:
Er: 0.0000 0.0000 0.0000
Er: 0.1971 0.1971 0.1971
S: 0.5980 0.5980 0.5980
Br: 0.4289 0.4289 0.4289

E_form (uncorrected) (meV/atom): -1408

A geometry-optimized TcTePb2 structure. Source: Alexandria, functional GGA-PBE.

abc: 5.1345 5.1345 5.1345
angles: 60.00 60.00 60.00
Sites, in units of the cell vectors:
Tc: 0.0000 0.0000 0.0000
Te: 0.7500 0.7500 0.7500
Pb: 0.2500 0.2500 0.2500
Pb: 0.5000 0.5000 0.5000

E_form (uncorrected) (meV/atom): 660

A geometry-optimized InTe2AsRu structure. Source: Alexandria, functional GGA-PBE.

abc: 5.5440 5.5440 5.0309
angles: 90.00 90.00 90.00
Sites, in units of the cell vectors:
In: 0.0000 0.0000 0.0000
Te: 0.0000 0.5000 0.0000
Te: 0.5000 0.0000 0.0000
As: 0.0000 0.0000 0.5000
Ru: 0.5000 0.5000 0.5000

E_form (uncorrected) (meV/atom): 1493

A geometry-optimized SiS structure. Source: Alexandria, functional GGA-PBE.

abc: 6.6500 18.7798 3.9938
angles: 90.00 90.00 90.00
Sites, in units of the cell vectors:
Si: 0.2500 0.0349 0.2500
Si: 0.2500 0.9651 0.7500
Si: 0.7500 0.0349 0.2500
Si: 0.7500 0.9651 0.7500
S: 0.0000 0.1088 0.2484
S: 0.0000 0.8912 0.7516
S: 0.5000 0.1088 0.2516
S: 0.5000 0.8912 0.7484

E_form (uncorrected) (meV/atom): -424